Record 1
V2O5 | PBEsol | relaxed

Cell: 10.3631 5.7700 11.1770 Å, 66.79 30.78 82.43°
With the nearest neighbours (Å) after each atom.
Positions (direct):
V 0.3716 0.6284 0.4684  4 O 1.59-1.77
V 0.6284 0.3716 0.5316  4 O 1.59-1.77
V 0.7184 0.7816 0.6216  4 O 1.59-1.77
V 0.7816 0.7184 0.8784  4 O 1.59-1.77
O 0.0201 0.5738 0.7408  2 V 1.76-1.77
O 0.0492 0.9443 0.3095  1 V 1.59
O 0.3942 0.3942 0.6058  2 V 1.77
O 0.5092 0.5847 0.2299  2 V 1.76-1.77
O 0.5530 0.9405 0.3057  1 V 1.59
O 0.5738 0.0201 0.6653  2 V 1.76-1.77
O 0.5847 0.5092 0.6762  2 V 1.76-1.77
O 0.6442 0.6442 0.8558  2 V 1.77
O 0.9405 0.5530 0.2008  1 V 1.59
O 0.9443 0.0492 0.6970  1 V 1.59

* DOS at the Fermi energy: 0.000 states/eV/cell
* final energy: -122.292 eV per cell
* energy relative to the elements, uncorrected: -15.6 eV per formula unit

---

Record 2
CeYIn6 | PBEsol | relaxed

Cell: 4.5840 4.5840 9.1438 Å, 90.00 90.00 90.00°
With the nearest neighbours (Å) after each atom.
Positions (direct):
Ce 0.0000 0.0000 0.0000  12 In 3.24-3.25
Y 0.0000 0.0000 0.5000  12 In 3.22-3.24
In 0.0000 0.5000 0.2522  8 In 3.22-3.25, 2 Y 3.22, 2 Ce 3.25
In 0.0000 0.5000 0.7478  8 In 3.22-3.25, 2 Y 3.22, 2 Ce 3.25
In 0.5000 0.0000 0.2522  8 In 3.22-3.25, 2 Y 3.22, 2 Ce 3.25
In 0.5000 0.0000 0.7478  8 In 3.22-3.25, 2 Y 3.22, 2 Ce 3.25
In 0.5000 0.5000 0.0000  4 Ce 3.24, 8 In 3.25
In 0.5000 0.5000 0.5000  8 In 3.22, 4 Y 3.24

* DOS at the Fermi energy: 6.714 states/eV/cell
* energy relative to the elements: -44.9 kJ per mole of atoms
* final energy: -35.041 eV per cell

---

Record 3
Os2Ru | PBEsol | relaxed

Cell: 5.0805 5.0805 6.3696 Å, 103.13 103.13 31.00°
With the nearest neighbours (Å) after each atom.
Positions (direct):
Os 0.0286 0.0286 0.3062  5 Ru 2.66-2.71, 7 Os 2.66-2.72
Os 0.3611 0.3611 0.9732  3 Ru 2.65-2.72, 9 Os 2.65-2.72
Os 0.6389 0.6389 0.0268  3 Ru 2.65-2.72, 9 Os 2.65-2.72
Os 0.9714 0.9714 0.6938  5 Ru 2.66-2.71, 7 Os 2.66-2.72
Ru 0.3061 0.3061 0.3616  8 Os 2.65-2.72, 4 Ru 2.66-2.72
Ru 0.6939 0.6939 0.6384  8 Os 2.65-2.72, 4 Ru 2.66-2.72

* DOS at the Fermi energy: 4.167 states/eV/cell
* energy above the most stable polymorph in this dataset: 7 meV per atom
* energy relative to the elements: -0.7 kJ per mole of atoms
* final energy: -69.253 eV per cell

---

Record 4
CaCuPb | PBEsol | relaxed

Cell: 4.6359 4.6359 3.6828 Å, 90.00 90.00 120.00°
With the nearest neighbours (Å) after each atom.
Positions (direct):
Ca 0.0000 0.0000 0.0000  6 Pb 3.25, 6 Cu 3.25
Cu 0.6667 0.3333 0.5000  3 Pb 2.68
Pb 0.3333 0.6667 0.5000  3 Cu 2.68

* DOS at the Fermi energy: 0.868 states/eV/cell
* energy relative to the elements: -28.3 kJ per mole of atoms
* final energy: -11.346 eV per cell

---

Record 5
KLiFe2 | PBEsol | relaxed

Cell: 2.6115 2.6115 9.5306 Å, 90.00 90.00 90.00°
With the nearest neighbours (Å) after each atom.
Positions (direct):
K 0.0000 0.0000 0.0000  4 K 2.61
Li 0.0000 0.0000 0.5000  4 Li 2.61, 8 Fe 2.65
Fe 0.5000 0.5000 0.3008  4 Fe 2.61, 4 Li 2.65
Fe 0.5000 0.5000 0.6992  4 Fe 2.61, 4 Li 2.65

* DOS at the Fermi energy: 4.436 states/eV/cell
* energy above the most stable polymorph in this dataset: 200 meV per atom
* energy relative to the elements: 97.7 kJ per mole of atoms
* final energy: -16.976 eV per cell

---

Record 6
Eu2MgS4 | PBEsol | relaxed

Cell: 7.9411 7.9411 7.9411 Å, 60.00 60.00 60.00°
With the nearest neighbours (Å) after each atom.
Positions (direct):
Eu 0.0000 0.0000 0.0000  6 S 2.77
Eu 0.0000 0.0000 0.5000  6 S 2.77
Eu 0.0000 0.5000 0.0000  6 S 2.77
Eu 0.5000 0.0000 0.0000  6 S 2.77
Mg 0.3750 0.3750 0.3750  4 S 2.49
Mg 0.6250 0.6250 0.6250  4 S 2.49
S 0.2410 0.7530 0.7530  1 Mg 2.49, 3 Eu 2.77
S 0.2470 0.2470 0.2470  1 Mg 2.49, 3 Eu 2.77
S 0.2470 0.2470 0.7590  1 Mg 2.49, 3 Eu 2.77
S 0.2470 0.7590 0.2470  1 Mg 2.49, 3 Eu 2.77
S 0.7530 0.2410 0.7530  1 Mg 2.49, 3 Eu 2.77
S 0.7530 0.7530 0.2410  1 Mg 2.49, 3 Eu 2.77
S 0.7530 0.7530 0.7530  1 Mg 2.49, 3 Eu 2.77
S 0.7590 0.2470 0.2470  1 Mg 2.49, 3 Eu 2.77

* DOS at the Fermi energy: 14.447 states/eV/cell
* final energy: -102.467 eV per cell
* energy relative to the elements, uncorrected: -10.9 eV per formula unit

---

Record 7
Cs2ZrAgIr | PBEsol | relaxed

Cell: 6.7556 6.7556 4.7844 Å, 90.00 90.00 90.00°
With the nearest neighbours (Å) after each atom.
Positions (direct):
Cs 0.0000 0.5000 0.0000  2 Ir 3.38
Cs 0.5000 0.0000 0.0000  2 Ir 3.38
Zr 0.0000 0.0000 0.5000  2 Ir 2.39
Ag 0.5000 0.5000 0.5000  8 Cs 4.14
Ir 0.0000 0.0000 0.0000  2 Zr 2.39

* DOS at the Fermi energy: 4.061 states/eV/cell
* energy relative to the elements: 85.0 kJ per mole of atoms
* final energy: -19.707 eV per cell

---

Record 8
ReOsCl2 | PBEsol | relaxed

Cell: 4.4080 4.4080 4.4080 Å, 60.00 60.00 60.00°
With the nearest neighbours (Å) after each atom.
Positions (direct):
Re 0.0000 0.0000 0.0000  4 Cl 2.70, 4 Os 2.70
Os 0.2500 0.2500 0.2500  4 Cl 2.70, 4 Re 2.70
Cl 0.5000 0.5000 0.5000  4 Cl 2.70, 4 Os 2.70
Cl 0.7500 0.7500 0.7500  4 Cl 2.70, 4 Re 2.70

* DOS at the Fermi energy: 2.588 states/eV/cell
* energy above the most stable polymorph in this dataset: 717 meV per atom
* final energy: -24.764 eV per cell
* energy relative to the elements, uncorrected: 4.8 eV per formula unit

---

Record 9
Ti2CuH2 | PBEsol | relaxed

Cell: 5.5073 5.5073 5.5073 Å, 147.17 147.17 47.11°
With the nearest neighbours (Å) after each atom.
Positions (direct):
Ti 0.1439 0.1439 0.0000  4 H 1.89
Ti 0.8561 0.8561 0.0000  4 H 1.89
Cu 0.5000 0.5000 0.0000  8 Ti 2.64
H 0.2500 0.7500 0.5000  4 Ti 1.89
H 0.7500 0.2500 0.5000  4 Ti 1.89

* DOS at the Fermi energy: 3.430 states/eV/cell
* final energy: -29.245 eV per cell

---

Record 10
KTaP4O13 | PBEsol | relaxed

Cell: 7.1197 8.4716 18.2904 Å, 90.00 90.00 90.00°
With the nearest neighbours (Å) after each atom.
Positions (direct):
K 0.2392 0.2062 0.0212  7 O 2.60-2.87
K 0.2608 0.7938 0.5212  7 O 2.60-2.87
K 0.7392 0.2938 0.9788  7 O 2.60-2.87
K 0.7608 0.7062 0.4788  7 O 2.60-2.87
Ta 0.2340 0.7803 0.7928  6 O 1.93-1.99
Ta 0.2660 0.2197 0.2928  6 O 1.93-1.99
Ta 0.7340 0.7197 0.2072  6 O 1.93-1.99
Ta 0.7660 0.2803 0.7072  6 O 1.93-1.99
P 0.0692 0.7925 0.0736  4 O 1.46-1.61
P 0.0726 0.3899 0.5704  4 O 1.47-1.60
P 0.0954 0.8412 0.3219  4 O 1.47-1.60
P 0.0971 0.3970 0.8318  4 O 1.47-1.60
P 0.4029 0.6030 0.3318  4 O 1.47-1.60
P 0.4046 0.1588 0.8219  4 O 1.47-1.60
P 0.4274 0.6101 0.0704  4 O 1.47-1.60
P 0.4308 0.2075 0.5736  4 O 1.46-1.61
P 0.5692 0.7075 0.9264  4 O 1.46-1.61
P 0.5726 0.1101 0.4296  4 O 1.47-1.60
P 0.5954 0.6588 0.6781  4 O 1.47-1.60
P 0.5971 0.1030 0.1682  4 O 1.47-1.60
P 0.9029 0.8970 0.6682  4 O 1.47-1.60
P 0.9046 0.3412 0.1781  4 O 1.47-1.60
P 0.9274 0.8899 0.9296  4 O 1.47-1.60
P 0.9308 0.2925 0.4264  4 O 1.46-1.61
O 0.0056 0.2674 0.5089  2 P 1.60-1.61
O 0.0216 0.8310 0.8594  1 P 1.53
O 0.0412 0.5561 0.5515  1 P 1.47
O 0.0505 0.8365 0.4004  1 P 1.47
O 0.0708 0.2983 0.2297  1 P 1.56
O 0.0799 0.8357 0.7095  1 P 1.56
O 0.0868 0.3890 0.9121  1 P 1.47
O 0.1014 0.2472 0.3797  1 P 1.53
O 0.1422 0.5621 0.7994  1 P 1.55
O 0.1614 0.9436 0.0886  1 P 1.46
O 0.1758 0.0001 0.2933  1 P 1.55
O 0.2075 0.6435 0.0797  2 P 1.60
O 0.2441 0.7120 0.2953  2 P 1.60
O 0.2559 0.2880 0.7953  2 P 1.60
O 0.2925 0.3565 0.5797  2 P 1.60
O 0.3242 0.9999 0.7933  1 P 1.55
O 0.3386 0.0564 0.5886  1 P 1.46
O 0.3578 0.4379 0.2994  1 P 1.55
O 0.3986 0.7528 0.8797  1 P 1.53
O 0.4132 0.6110 0.4121  1 P 1.47
O 0.4201 0.1643 0.2095  1 P 1.56
O 0.4292 0.7017 0.7297  1 P 1.56
O 0.4495 0.1635 0.9004  1 P 1.47
O 0.4588 0.4439 0.0515  1 P 1.47
O 0.4784 0.1690 0.3594  1 P 1.53
O 0.4944 0.7326 0.0089  2 P 1.60-1.61
O 0.5056 0.2326 0.4911  2 P 1.60-1.61
O 0.5216 0.6690 0.1406  1 P 1.53
O 0.5412 0.9439 0.4485  1 P 1.47
O 0.5505 0.6635 0.5996  1 P 1.47
O 0.5708 0.2017 0.7703  1 P 1.56
O 0.5799 0.6643 0.2905  1 P 1.56
O 0.5868 0.1110 0.0879  1 P 1.47
O 0.6014 0.2528 0.6203  1 P 1.53
O 0.6422 0.9379 0.2006  1 P 1.55
O 0.6614 0.5564 0.9114  1 P 1.46
O 0.6758 0.4999 0.7067  1 P 1.55
O 0.7075 0.8565 0.9203  2 P 1.60
O 0.7441 0.7880 0.7047  2 P 1.60
O 0.7559 0.2120 0.2047  2 P 1.60
O 0.7925 0.1435 0.4203  2 P 1.60
O 0.8242 0.5001 0.2067  1 P 1.55
O 0.8386 0.4436 0.4114  1 P 1.46
O 0.8578 0.0621 0.7006  1 P 1.55
O 0.8986 0.7472 0.1203  1 P 1.53
O 0.9132 0.8890 0.5879  1 P 1.47
O 0.9201 0.3357 0.7905  1 P 1.56
O 0.9292 0.7983 0.2703  1 P 1.56
O 0.9495 0.3365 0.0996  1 P 1.47
O 0.9588 0.0561 0.9485  1 P 1.47
O 0.9784 0.3310 0.6406  1 P 1.53
O 0.9944 0.7674 0.9911  2 P 1.60-1.61

* DOS at the Fermi energy: 0.000 states/eV/cell
* final energy: -597.023 eV per cell
* energy relative to the elements, uncorrected: -44.2 eV per formula unit

---

Record 11
LuTe | PBEsol | relaxed

Cell: 3.9502 3.9502 3.9362 Å, 90.00 90.00 120.00°
With the nearest neighbours (Å) after each atom.
Positions (direct):
Lu 0.0000 0.0000 0.0000  6 Te 3.01
Te 0.3333 0.6667 0.5000  6 Lu 3.01

* DOS at the Fermi energy: 2.199 states/eV/cell
* final energy: -10.760 eV per cell
* energy relative to the elements, uncorrected: -2.4 eV per formula unit

---

Record 12
Sm3Ge13Os4 | PBEsol | relaxed

Cell: 9.0141 9.0141 9.0141 Å, 90.00 90.00 90.00°
With the nearest neighbours (Å) after each atom.
Positions (direct):
Sm 0.0000 0.2500 0.5000  12 Ge 3.19-3.22, 4 Os 3.19
Sm 0.0000 0.7500 0.5000  12 Ge 3.19-3.22, 4 Os 3.19
Sm 0.2500 0.5000 0.0000  12 Ge 3.19-3.22, 4 Os 3.19
Sm 0.5000 0.0000 0.2500  12 Ge 3.19-3.22, 4 Os 3.19
Sm 0.5000 0.0000 0.7500  12 Ge 3.19-3.22, 4 Os 3.19
Sm 0.7500 0.5000 0.0000  12 Ge 3.19-3.22, 4 Os 3.19
Ge 0.0000 0.0000 0.0000  12 Ge 2.98
Ge 0.0000 0.2968 0.1454  2 Os 2.48, 1 Ge 2.62
Ge 0.0000 0.2968 0.8546  2 Os 2.48, 1 Ge 2.62
Ge 0.0000 0.7032 0.1454  2 Os 2.48, 1 Ge 2.62
Ge 0.0000 0.7032 0.8546  2 Os 2.48, 1 Ge 2.62
Ge 0.1454 0.0000 0.2968  2 Os 2.48, 1 Ge 2.62
Ge 0.1454 0.0000 0.7032  2 Os 2.48, 1 Ge 2.62
Ge 0.2032 0.5000 0.3546  2 Os 2.48, 1 Ge 2.62
Ge 0.2032 0.5000 0.6454  2 Os 2.48, 1 Ge 2.62
Ge 0.2968 0.1454 0.0000  2 Os 2.48, 1 Ge 2.62
Ge 0.2968 0.8546 0.0000  2 Os 2.48, 1 Ge 2.62
Ge 0.3546 0.2032 0.5000  2 Os 2.48, 1 Ge 2.62
Ge 0.3546 0.7968 0.5000  2 Os 2.48, 1 Ge 2.62
Ge 0.5000 0.3546 0.2032  2 Os 2.48, 1 Ge 2.62
Ge 0.5000 0.3546 0.7968  2 Os 2.48, 1 Ge 2.62
Ge 0.5000 0.5000 0.5000  12 Ge 2.98
Ge 0.5000 0.6454 0.2032  2 Os 2.48, 1 Ge 2.62
Ge 0.5000 0.6454 0.7968  2 Os 2.48, 1 Ge 2.62
Ge 0.6454 0.2032 0.5000  2 Os 2.48, 1 Ge 2.62
Ge 0.6454 0.7968 0.5000  2 Os 2.48, 1 Ge 2.62
Ge 0.7032 0.1454 0.0000  2 Os 2.48, 1 Ge 2.62
Ge 0.7032 0.8546 0.0000  2 Os 2.48, 1 Ge 2.62
Ge 0.7968 0.5000 0.3546  2 Os 2.48, 1 Ge 2.62
Ge 0.7968 0.5000 0.6454  2 Os 2.48, 1 Ge 2.62
Ge 0.8546 0.0000 0.2968  2 Os 2.48, 1 Ge 2.62
Ge 0.8546 0.0000 0.7032  2 Os 2.48, 1 Ge 2.62
Os 0.2500 0.2500 0.2500  6 Ge 2.48
Os 0.2500 0.2500 0.7500  6 Ge 2.48
Os 0.2500 0.7500 0.2500  6 Ge 2.48
Os 0.2500 0.7500 0.7500  6 Ge 2.48
Os 0.7500 0.2500 0.2500  6 Ge 2.48
Os 0.7500 0.2500 0.7500  6 Ge 2.48
Os 0.7500 0.7500 0.2500  6 Ge 2.48
Os 0.7500 0.7500 0.7500  6 Ge 2.48

* DOS at the Fermi energy: 18.623 states/eV/cell
* energy relative to the elements: -37.7 kJ per mole of atoms
* final energy: -272.338 eV per cell

---

The lowest final energy belongs to which entry? KTaP4O13